! SrCuSbTe3 PBE relaxed; values from VASP
&SYSTEM
  ibrav = 0, nat = 12, ntyp = 4
/
ATOMIC_SPECIES
Sr 87.62 Sr.upf
Cu 63.55 Cu.upf
Sb 121.76 Sb.upf
Te 127.60 Te.upf
CELL_PARAMETERS angstrom
9.3086 0.0000 0.0000
0.0000 4.3647 0.0000
-1.9600 0.0000 9.3311
ATOMIC_POSITIONS angstrom
Sr 1.0669 1.0912 2.3264
Sr 6.2818 3.2735 7.0048
Cu -0.5112 1.0912 5.3132
Cu 7.8598 3.2735 4.0179
Sb 1.4835 3.2735 7.9374
Sb 5.8652 1.0912 1.3937
Te -0.6567 1.0912 8.1375
Te 1.0513 3.2735 4.8545
Te 3.6737 3.2735 1.6315
Te 3.6749 1.0912 7.6996
Te 6.2973 1.0912 4.4766
Te 8.0053 3.2735 1.1936
! raw total energy = -3.82 eV per atom
! symmetry = No. 11
! formation energy from raw total energies = -3.605 eV per formula unit

=====

! TaCuSb2 PBE relaxed; values from VASP
&SYSTEM
  ibrav = 0, nat = 16, ntyp = 3
/
ATOMIC_SPECIES
Ta 180.95 Ta.upf
Cu 63.55 Cu.upf
Sb 121.76 Sb.upf
CELL_PARAMETERS angstrom
6.1870 0.0000 0.0000
0.0000 6.1870 0.0000
0.0000 0.0000 12.0327
ATOMIC_POSITIONS angstrom
Ta 0.0000 0.0000 0.0000
Ta 0.0000 3.0935 3.0082
Ta 3.0935 0.0000 9.0245
Ta 3.0935 3.0935 6.0163
Cu 0.0000 0.0000 6.0163
Cu 0.0000 3.0935 9.0245
Cu 3.0935 0.0000 3.0082
Cu 3.0935 3.0935 0.0000
Sb 1.4593 1.5467 7.5204
Sb 1.5467 4.5528 10.5286
Sb 1.5467 4.7276 4.5123
Sb 1.6341 1.5467 1.5041
Sb 4.5528 4.6402 1.5041
Sb 4.6402 1.4593 4.5123
Sb 4.6402 1.6341 10.5286
Sb 4.7276 4.6402 7.5204
! raw total energy = -5.49 eV per atom
! symmetry = No. 122
! relative energy among the computed polymorphs = 0.5364 eV per atom
! formation energy from raw total energies = 2.254 eV per formula unit

=====

! TaCuSb2 PBE relaxed; values from VASP
&SYSTEM
  ibrav = 0, nat = 8, ntyp = 3
/
ATOMIC_SPECIES
Ta 180.95 Ta.upf
Cu 63.55 Cu.upf
Sb 121.76 Sb.upf
CELL_PARAMETERS angstrom
3.9045 0.0000 0.0000
0.0000 3.7571 0.0000
0.0000 0.0000 10.8903
ATOMIC_POSITIONS angstrom
Ta 0.0000 0.0000 0.0000
Ta 0.0000 1.8786 5.4452
Cu 1.9523 0.0000 9.0142
Cu 1.9523 1.8786 3.5690
Sb 0.0000 0.0000 3.1841
Sb 0.0000 1.8786 8.6293
Sb 1.9523 0.0000 6.3807
Sb 1.9523 1.8786 0.9355
! raw total energy = -6.02 eV per atom
! symmetry = No. 38
! relative energy among the computed polymorphs = 0.0000 eV per atom
! formation energy from raw total energies = 0.108 eV per formula unit

=====

! Ta4CuSb PBE relaxed; values from VASP
&SYSTEM
  ibrav = 0, nat = 6, ntyp = 3
/
ATOMIC_SPECIES
Ta 180.95 Ta.upf
Cu 63.55 Cu.upf
Sb 121.76 Sb.upf
CELL_PARAMETERS angstrom
0.0000 3.8866 3.8866
3.8866 0.0000 3.8866
3.8866 3.8866 0.0000
ATOMIC_POSITIONS angstrom
Ta 0.9655 0.9655 0.9655
Ta 2.9211 2.9211 0.9655
Ta 2.9211 0.9655 2.9211
Ta 0.9655 2.9211 2.9211
Cu 5.8298 5.8298 5.8298
Sb 3.8866 3.8866 3.8866
! raw total energy = -8.68 eV per atom
! symmetry = No. 216
! formation energy from raw total energies = 3.563 eV per formula unit

=====

What did the first record say?
! SrCuSbTe3 PBE relaxed; values from VASP
&SYSTEM
  ibrav = 0, nat = 12, ntyp = 4
/
ATOMIC_SPECIES
Sr 87.62 Sr.upf
Cu 63.55 Cu.upf
Sb 121.76 Sb.upf
Te 127.60 Te.upf
CELL_PARAMETERS angstrom
9.3086 0.0000 0.0000
0.0000 4.3647 0.0000
-1.9600 0.0000 9.3311
ATOMIC_POSITIONS angstrom
Sr 1.0669 1.0912 2.3264
Sr 6.2818 3.2735 7.0048
Cu -0.5112 1.0912 5.3132
Cu 7.8598 3.2735 4.0179
Sb 1.4835 3.2735 7.9374
Sb 5.8652 1.0912 1.3937
Te -0.6567 1.0912 8.1375
Te 1.0513 3.2735 4.8545
Te 3.6737 3.2735 1.6315
Te 3.6749 1.0912 7.6996
Te 6.2973 1.0912 4.4766
Te 8.0053 3.2735 1.1936
! raw total energy = -3.82 eV per atom
! symmetry = No. 11
! formation energy from raw total energies = -3.605 eV per formula unit

=====

Copy entry 2 word for word.
! TaCuSb2 PBE relaxed; values from VASP
&SYSTEM
  ibrav = 0, nat = 16, ntyp = 3
/
ATOMIC_SPECIES
Ta 180.95 Ta.upf
Cu 63.55 Cu.upf
Sb 121.76 Sb.upf
CELL_PARAMETERS angstrom
6.1870 0.0000 0.0000
0.0000 6.1870 0.0000
0.0000 0.0000 12.0327
ATOMIC_POSITIONS angstrom
Ta 0.0000 0.0000 0.0000
Ta 0.0000 3.0935 3.0082
Ta 3.0935 0.0000 9.0245
Ta 3.0935 3.0935 6.0163
Cu 0.0000 0.0000 6.0163
Cu 0.0000 3.0935 9.0245
Cu 3.0935 0.0000 3.0082
Cu 3.0935 3.0935 0.0000
Sb 1.4593 1.5467 7.5204
Sb 1.5467 4.5528 10.5286
Sb 1.5467 4.7276 4.5123
Sb 1.6341 1.5467 1.5041
Sb 4.5528 4.6402 1.5041
Sb 4.6402 1.4593 4.5123
Sb 4.6402 1.6341 10.5286
Sb 4.7276 4.6402 7.5204
! raw total energy = -5.49 eV per atom
! symmetry = No. 122
! relative energy among the computed polymorphs = 0.5364 eV per atom
! formation energy from raw total energies = 2.254 eV per formula unit

=====

> The highest raw total energy belongs to which entry?

SrCuSbTe3

=====

> Among the records above, which one has the highest raw total energy?

SrCuSbTe3